# 1
BaSrGaAg: optimized geometry, PBE-GGA.

Computed properties:
**Uncorrected energy**: -2.63 eV per atom
**SG**: F-43m (216)
**DFT formation energy**: -0.259 eV per atom

```
BaSrGaAg
1.0
5.683 0.000 0.000
2.842 4.922 0.000
2.842 1.641 4.640
Ag Sr Ga Ba
1 1 1 1
direct
0.250 0.250 0.250
0.500 0.500 0.500
0.750 0.750 0.750
0.000 0.000 0.000
```

# 2
BaTlGaAg: optimized geometry, PBE-GGA.

Computed properties:
**Uncorrected energy**: -2.71 eV per atom
**SG**: F-43m (216)
**DFT formation energy**: -0.165 eV per atom

```
BaTlGaAg
1.0
5.396 0.000 0.000
2.698 4.673 0.000
2.698 1.558 4.406
Ag Tl Ba Ga
1 1 1 1
direct
0.250 0.250 0.250
0.500 0.500 0.500
0.000 0.000 0.000
0.750 0.750 0.750
```

# 3
Ba2Zn6GaAg: optimized geometry, PBE-GGA.

Computed properties:
**Uncorrected energy**: -1.91 eV per atom
**SG**: P-1 (2)
**DFT formation energy**: -0.173 eV per atom

```
Ba2Zn6GaAg
1.0
-6.485 1.742 2.220
-2.401 -2.337 -6.184
-4.269 -5.378 -1.471
Zn Ba Ga Ag
6 2 1 1
direct
0.298 0.792 0.018
0.622 0.751 0.131
0.702 0.208 0.982
0.378 0.249 0.869
0.299 0.317 0.493
0.701 0.683 0.507
0.180 0.760 0.577
0.820 0.240 0.423
0.500 0.500 0.000
0.000 0.000 0.000
```

# 4
Ba2ZnGa4Ag3: optimized geometry, PBE-GGA.

Computed properties:
**Uncorrected energy**: -2.87 eV per atom
**SG**: P-4m2 (115)
**DFT formation energy**: -0.289 eV per atom

```
Ba2ZnGa4Ag3
1.0
-4.142 -1.931 -0.745
1.903 -4.208 0.331
-1.954 -0.025 10.931
Ga Ag Ba Zn
4 3 2 1
direct
0.000 0.000 0.000
0.000 0.500 0.377
0.500 0.500 0.000
0.500 0.000 0.623
0.500 0.000 0.870
0.000 0.000 0.500
0.000 0.500 0.130
0.000 0.500 0.749
0.500 0.000 0.251
0.500 0.500 0.500
```

# 5
BaZn2GaAg: optimized geometry, PBE-GGA.

Computed properties:
**Uncorrected energy**: -2.32 eV per atom
**SG**: Imm2 (44)
**DFT formation energy**: -0.248 eV per atom

```
BaZn2GaAg
1.0
4.795 0.000 0.000
0.000 4.747 0.000
-2.398 -2.374 5.139
Zn Ag Ga Ba
2 1 1 1
direct
0.068 0.068 0.136
0.694 0.194 0.389
0.195 0.695 0.390
0.813 0.813 0.627
0.442 0.442 0.883
```

# 6
Ba2Zn4Ga3Ag: optimized geometry, PBE-GGA.

Computed properties:
**Uncorrected energy**: -2.38 eV per atom
**SG**: P-4m2 (115)
**DFT formation energy**: -0.290 eV per atom

```
Ba2Zn4Ga3Ag
1.0
-3.639 -1.867 2.270
-0.537 -3.129 -3.435
6.478 -6.577 4.977
Ba Ga Zn Ag
2 3 4 1
direct
0.500 0.000 0.247
0.000 0.500 0.753
0.000 0.500 0.126
0.500 0.000 0.874
0.000 0.000 0.500
0.500 0.000 0.625
0.500 0.500 0.000
0.000 0.000 0.000
0.000 0.500 0.375
0.500 0.500 0.500
```

# 7
Ba3ZnGa2Ag6: optimized geometry, PBE-GGA.

Computed properties:
**Uncorrected energy**: -2.67 eV per atom
**SG**: P-3m1 (164)
**DFT formation energy**: -0.157 eV per atom

```
Ba3ZnGa2Ag6
1.0
-0.356 -4.543 -5.125
4.025 -1.244 5.411
-6.456 -3.900 3.906
Ag Ga Ba Zn
6 2 3 1
direct
0.807 0.193 0.632
0.615 0.807 0.368
0.385 0.193 0.632
0.193 0.807 0.368
0.807 0.615 0.632
0.193 0.385 0.368
0.333 0.667 0.125
0.667 0.333 0.875
0.000 0.000 0.000
0.333 0.667 0.738
0.667 0.333 0.262
0.000 0.000 0.500
```

# 8
BaZnGaAg3: optimized geometry, PBE-GGA.

Computed properties:
**Uncorrected energy**: -2.58 eV per atom
**SG**: Cmcm (63)
**DFT formation energy**: -0.114 eV per atom

```
BaZnGaAg3
1.0
-3.172 -1.652 -5.429
1.320 -6.747 1.282
-6.197 2.931 2.728
Ag Ga Zn Ba
6 2 2 2
direct
0.500 0.706 0.000
0.000 0.294 0.000
0.750 0.825 0.650
0.250 0.175 0.350
0.500 0.294 0.000
0.000 0.706 0.000
0.250 0.976 0.952
0.750 0.024 0.048
0.250 0.378 0.755
0.750 0.622 0.245
0.250 0.722 0.443
0.750 0.278 0.557
```

# 9
BaZn2GaAg2: optimized geometry, PBE-GGA.

Computed properties:
**Uncorrected energy**: -2.22 eV per atom
**SG**: P4/mmm (123)
**DFT formation energy**: -0.020 eV per atom

```
BaZn2GaAg2
1.0
-3.062 1.393 -3.430
2.605 -2.353 -3.281
-3.492 -5.243 0.987
Ba Ag Zn Ga
1 2 2 1
direct
0.000 0.000 0.500
0.500 0.500 0.733
0.500 0.500 0.267
0.500 0.000 0.000
0.000 0.500 0.000
0.000 0.000 0.000
```

# 10
Ba2Zn3GaAg4: optimized geometry, PBE-GGA.

Computed properties:
**Uncorrected energy**: -2.43 eV per atom
**SG**: P-4m2 (115)
**DFT formation energy**: -0.217 eV per atom

```
Ba2Zn3GaAg4
1.0
4.766 0.000 0.000
0.000 4.766 0.000
0.000 0.000 10.614
Ag Zn Ba Ga
4 3 2 1
direct
0.500 0.000 0.623
0.000 0.000 0.000
0.500 0.500 0.000
0.000 0.500 0.377
0.500 0.000 0.877
0.000 0.000 0.500
0.000 0.500 0.123
0.500 0.000 0.251
0.000 0.500 0.749
0.500 0.500 0.500
```

# 11
BaZnGa2Ag: optimized geometry, PBE-GGA.

Computed properties:
**Uncorrected energy**: -2.73 eV per atom
**SG**: I-4m2 (119)
**DFT formation energy**: -0.309 eV per atom

```
BaZnGa2Ag
1.0
-0.708 4.258 1.886
-4.390 -1.247 1.168
4.293 -3.280 3.133
Ga Zn Ag Ba
2 1 1 1
direct
0.375 0.375 0.751
0.625 0.625 0.249
0.750 0.250 0.500
0.250 0.750 0.500
0.000 0.000 0.000
```

# 12
BaGdAg4: optimized geometry, PBE-GGA.

Computed properties:
**Uncorrected energy**: -4.66 eV per atom
**SG**: F-43m (216)
**DFT formation energy**: -0.090 eV per atom

```
BaGdAg4
1.0
-4.250 -2.601 3.207
0.258 -5.817 1.099
1.183 -1.931 5.475
Ba Ag Gd
1 4 1
direct
0.250 0.250 0.250
0.626 0.626 0.626
0.626 0.121 0.626
0.121 0.626 0.626
0.626 0.626 0.121
0.000 0.000 0.000
```

# 13
Ba2GdAg: optimized geometry, PBE-GGA.

Computed properties:
**Uncorrected energy**: -5.17 eV per atom
**SG**: P4/mmm (123)
**DFT formation energy**: 0.026 eV per atom

```
Ba2GdAg
1.0
-0.608 -1.461 3.716
-1.937 -3.179 -1.567
8.559 -4.947 -0.546
Ag Ba Gd
1 2 1
direct
0.500 0.500 0.000
0.000 0.000 0.793
0.000 0.000 0.207
0.500 0.500 0.500
```

# 14
BaGd2Ag: optimized geometry, PBE-GGA.

Computed properties:
**Uncorrected energy**: -8.24 eV per atom
**SG**: P4/mmm (123)
**DFT formation energy**: -0.004 eV per atom

```
BaGd2Ag
1.0
-0.162 2.158 3.089
-0.135 -3.093 2.154
9.585 -0.047 0.536
Ba Gd Ag
1 2 1
direct
0.500 0.500 0.500
0.000 0.000 0.822
0.000 0.000 0.178
0.500 0.500 0.000
```

# 15
Ba2GdAg: optimized geometry, PBE-GGA.

Computed properties:
**Uncorrected energy**: -4.91 eV per atom
**SG**: R-3m (166)
**DFT formation energy**: 0.281 eV per atom

```
Ba2GdAg
1.0
-1.274 2.403 -2.901
-3.625 1.623 0.210
3.050 11.029 5.070
Ba Ag Gd
2 1 1
direct
0.100 0.100 0.700
0.900 0.900 0.300
0.500 0.500 0.500
0.000 0.000 0.000
```

# 16
BaGd2Ag: optimized geometry, PBE-GGA.

Computed properties:
**Uncorrected energy**: -8.03 eV per atom
**SG**: R-3m (166)
**DFT formation energy**: 0.207 eV per atom

```
BaGd2Ag
1.0
3.745 0.000 0.000
1.873 3.244 0.000
1.873 1.081 11.625
Ba Gd Ag
1 2 1
direct
0.000 0.000 0.000
0.896 0.896 0.313
0.104 0.104 0.687
0.500 0.500 0.500
```

# 17
BaGdAg: optimized geometry, PBE-GGA.

Computed properties:
**Uncorrected energy**: -6.36 eV per atom
**SG**: I4mm (107)
**DFT formation energy**: -0.078 eV per atom

```
BaGdAg
1.0
-3.520 -1.138 -1.232
-0.953 -1.001 3.646
-0.208 7.434 -0.099
Ag Ba Gd
1 1 1
direct
0.689 0.689 0.379
0.020 0.020 0.039
0.291 0.291 0.582
```

# 18
BaGdAgHg: optimized geometry, PBE-GGA.

Computed properties:
**Uncorrected energy**: -5.05 eV per atom
**SG**: F-43m (216)
**DFT formation energy**: -0.256 eV per atom

```
BaGdAgHg
1.0
5.572 0.000 0.000
2.786 4.825 0.000
2.786 1.608 4.549
Hg Ba Gd Ag
1 1 1 1
direct
0.750 0.750 0.750
0.500 0.500 0.500
0.000 0.000 0.000
0.250 0.250 0.250
```

# 19
BaGdMgAg: optimized geometry, PBE-GGA.

Computed properties:
**Uncorrected energy**: -5.13 eV per atom
**SG**: F-43m (216)
**DFT formation energy**: -0.016 eV per atom

```
BaGdMgAg
1.0
-4.144 -0.912 -3.712
1.221 -1.786 -5.206
-1.289 -5.266 -1.548
Gd Ba Mg Ag
1 1 1 1
direct
0.250 0.250 0.250
0.750 0.750 0.750
0.500 0.500 0.500
0.000 0.000 0.000
```

# 20
BaGdAgPb: optimized geometry, PBE-GGA.

Computed properties:
**Uncorrected energy**: -5.97 eV per atom
**SG**: F-43m (216)
**DFT formation energy**: -0.332 eV per atom

```
BaGdAgPb
1.0
5.666 0.000 0.000
2.833 4.907 0.000
2.833 1.636 4.626
Pb Ag Gd Ba
1 1 1 1
direct
0.750 0.750 0.750
0.250 0.250 0.250
0.000 0.000 0.000
0.500 0.500 0.500
```

# 21
BaGdTlAg: optimized geometry, PBE-GGA.

Computed properties:
**Uncorrected energy**: -5.51 eV per atom
**SG**: F-43m (216)
**DFT formation energy**: -0.206 eV per atom

```
BaGdTlAg
1.0
5.634 0.000 0.000
2.817 4.879 0.000
2.817 1.626 4.600
Tl Gd Ag Ba
1 1 1 1
direct
0.750 0.750 0.750
0.500 0.500 0.500
0.250 0.250 0.250
0.000 0.000 0.000
```

# 22
BaGdZnAg: optimized geometry, PBE-GGA.

Computed properties:
**Uncorrected energy**: -5.15 eV per atom
**SG**: F-43m (216)
**DFT formation energy**: -0.117 eV per atom

```
BaGdZnAg
1.0
5.481 0.000 0.000
2.740 4.746 0.000
2.740 1.582 4.475
Ba Ag Zn Gd
1 1 1 1
direct
0.500 0.500 0.500
0.250 0.250 0.250
0.750 0.750 0.750
0.000 0.000 0.000
```

# 23
Ba3Ag2Ge3: optimized geometry, PBE-GGA.

Computed properties:
**Uncorrected energy**: -3.60 eV per atom
**SG**: Cmcm (63)
**DFT formation energy**: -0.435 eV per atom

```
Ba3Ag2Ge3
1.0
4.783 0.000 0.000
-2.391 6.036 0.000
0.000 0.000 16.865
Ag Ba Ge
4 6 6
direct
0.853 0.706 0.614
0.147 0.294 0.386
0.147 0.294 0.114
0.853 0.706 0.886
0.146 0.291 0.600
0.567 0.134 0.250
0.854 0.709 0.100
0.146 0.291 0.900
0.433 0.866 0.750
0.854 0.709 0.400
0.420 0.840 0.955
0.420 0.840 0.545
0.580 0.160 0.045
0.580 0.160 0.455
0.273 0.546 0.250
0.727 0.454 0.750
```

# 24
BaAg2Ge2: optimized geometry, PBE-GGA.

Computed properties:
**Uncorrected energy**: -3.58 eV per atom
**SG**: I4/mmm (139)
**DFT formation energy**: -0.210 eV per atom

```
BaAg2Ge2
1.0
-1.719 4.330 -0.584
-3.758 -1.145 2.572
-0.104 3.257 5.584
Ag Ba Ge
2 1 2
direct
0.630 0.630 0.740
0.370 0.370 0.260
0.000 0.000 0.000
0.750 0.250 0.500
0.250 0.750 0.500
```

# 25
BaAg2Ge: optimized geometry, PBE-GGA.

Computed properties:
**Uncorrected energy**: -3.20 eV per atom
**SG**: I-42d (122)
**DFT formation energy**: -0.144 eV per atom

```
BaAg2Ge
1.0
5.394 0.000 0.000
0.000 5.394 0.000
2.697 2.697 8.665
Ag Ba Ge
4 2 2
direct
0.382 0.125 0.250
0.375 0.618 0.750
0.368 0.625 0.250
0.875 0.632 0.750
0.000 0.000 0.000
0.750 0.250 0.500
0.500 0.500 0.000
0.250 0.750 0.500
```

# 26
Ba2AgGe2: optimized geometry, PBE-GGA.

Computed properties:
**Uncorrected energy**: -3.35 eV per atom
**SG**: I4/mmm (139)
**DFT formation energy**: -0.166 eV per atom

```
Ba2AgGe2
1.0
6.520 0.000 0.000
0.000 6.520 0.000
3.260 3.260 4.016
Ag Ba Ge
1 2 2
direct
0.000 0.000 0.000
0.750 0.250 0.500
0.250 0.750 0.500
0.346 0.346 0.307
0.654 0.654 0.693
```